No. 1
5
Lattice="4.786 0.000 0.000 0.000 4.786 0.000 0.000 0.000 5.622" Properties=species:S:1:pos:R:3 comment="Al2CdReTe, PBEsol geometry, DFT SCAN" raw_formation_energy_mev_per_atom=1731 density_g_cm3=6.19 pbc="T T T"
Re 2.393 2.393 2.811
Te 0.000 0.000 2.811
Al 0.000 2.393 0.000
Al 2.393 0.000 0.000
Cd 0.000 0.000 0.000

No. 2
4
Lattice="-2.758 0.526 -0.217 -0.630 -1.994 3.183 0.649 4.664 3.051" Properties=species:S:1:pos:R:3 comment="AlCdRh2, PBEsol geometry, DFT SCAN" ef_mev_per_atom=-343.4 density_g_cm3=9.53 pbc="T T T"
Rh 0.003 0.025 0.016
Rh -1.515 0.552 2.324
Al 0.294 2.109 1.380
Cd -1.196 2.841 3.822

Number 1: magnetic moment 3.9 Bohr magnetons per cell. Number 2: magnetic moment 0.0 Bohr magnetons per cell.